## K2ScCuF6 (meta-GGA SCAN)

Data for a PBEsol-optimized structure of K2ScCuF6.

Computed properties:
total energy = -9.834 eV per atom
ΔE_f (raw) = -3.101 eV/atom
theoretical density = 3.43 g/cm3

a = 5.9070 Å, b = 5.9070 Å, c = 5.9070 Å
α = 60.00°, β = 60.00°, γ = 60.00°
Sites, in units of the cell vectors:
1 K 0.2500 0.2500 0.2500
2 K 0.7500 0.7500 0.7500
3 Sc 0.0000 0.0000 0.0000
4 Cu 0.5000 0.5000 0.5000
5 F 0.2403 0.2403 0.7597
6 F 0.2403 0.7597 0.2403
7 F 0.2403 0.7597 0.7597
8 F 0.7597 0.2403 0.2403
9 F 0.7597 0.2403 0.7597
10 F 0.7597 0.7597 0.2403